Record 1
TaTlFeNi | the Open Quantum Materials Database | PBE | optimized geometry; size of the total moment = 2.27 μB per formula unit; space-group type = F-43m (216); raw total energy = -0.4770 Ry per atom
1.0
-1.075 -4.183 1.232
-0.016 -1.126 4.348
-3.890 -0.792 2.100
Ni Ta Fe Tl
1 1 1 1
Direct
0.500 0.500 0.500
0.250 0.250 0.250
0.750 0.750 0.750
0.000 0.000 0.000

Record 2
TaTlFeNi | the Open Quantum Materials Database | PBE | optimized geometry; size of the total moment = 1.95 μB per formula unit; space-group type = F-43m (216); raw total energy = -0.4819 Ry per atom
1.0
-3.565 1.145 2.451
-2.875 3.069 -1.530
-4.100 -1.229 -1.304
Tl Ta Fe Ni
1 1 1 1
Direct
0.000 0.000 0.000
0.250 0.250 0.250
0.500 0.500 0.500
0.750 0.750 0.750

Record 3
TaTlFeNi | the Open Quantum Materials Database | PBE | optimized geometry; size of the total moment = 1.73 μB per formula unit; space-group type = F-43m (216); raw total energy = -0.5002 Ry per atom
1.0
0.000 3.121 3.121
3.121 0.000 3.121
3.121 3.121 0.000
Fe Tl Ni Ta
1 1 1 1
Direct
0.750 0.750 0.750
0.000 0.000 0.000
0.250 0.250 0.250
0.500 0.500 0.500